Entry 1:
Density functional theory data (PBE) for crystalline Pm2Co2Ge2N at its relaxed geometry.

a b c (Å): 3.9268 5.9545 6.9779
angles (deg): 53.11 90.01 70.76
Last column: magnetic moment on the atom in μB.
Sites, in units of the cell vectors:
Pm (0.4424, 0.1152, 0.1701)  0.02
Pm (0.5576, 0.8848, 0.8299)  0.02
Co (0.1918, 0.6163, 0.3034)  0.71
Co (0.8082, 0.3837, 0.6966)  0.71
N (0.0000, 0.0000, 0.0000)  0.10
Ge (0.1647, 0.6707, 0.6197)  -0.01
Ge (0.8353, 0.3293, 0.3803)  -0.01

space group	C2/m

Entry 2:
Density functional theory data (PBE) for crystalline PrCoGeN at its relaxed geometry.

a b c (Å): 3.8336 3.8336 8.5982
angles (deg): 90.00 90.00 90.00
Sites, in units of the cell vectors:
N (0.0000, 0.5000, 0.1254)
N (0.5000, 0.0000, 0.8746)
Co (0.0000, 0.0000, 0.5000)
Co (0.5000, 0.5000, 0.5000)
Ge (0.0000, 0.5000, 0.3505)
Ge (0.5000, 0.0000, 0.6495)
Pr (0.0000, 0.5000, 0.8452)
Pr (0.5000, 0.0000, 0.1548)

space group	P4/nmm

Entry 3:
Density functional theory data (PBE) for crystalline Pr2CoGeN at its relaxed geometry.

a b c (Å): 3.9359 6.4365 8.4606
angles (deg): 109.34 90.00 90.00
Last column: magnetic moment on the atom in μB.
Sites, in units of the cell vectors:
N (0.7500, 0.1749, 0.1708)  0.04
N (0.2500, 0.8251, 0.8292)  0.04
Pr (0.2500, 0.2203, 0.9664)  0.00
Pr (0.7500, 0.7867, 0.6118)  0.01
Pr (0.7500, 0.7797, 0.0336)  0.00
Pr (0.2500, 0.2133, 0.3882)  0.01
Co (0.2500, 0.5258, 0.7513)  0.68
Co (0.7500, 0.4742, 0.2487)  0.68
Ge (0.7500, 0.3112, 0.6998)  0.04
Ge (0.2500, 0.6888, 0.3002)  0.04

space group	P2_1/m

Entry 4:
Density functional theory data (PBE) for crystalline PrCo2GeN at its relaxed geometry.

a b c (Å): 3.7806 5.8033 6.9536
angles (deg): 90.00 90.00 109.01
Last column: magnetic moment on the atom in μB.
Sites, in units of the cell vectors:
Co (0.8394, 0.6789, 0.0551)  0.47
Co (0.8394, 0.6789, 0.4449)  0.47
Co (0.1606, 0.3211, 0.9449)  0.47
Co (0.1606, 0.3211, 0.5551)  0.47
N (0.0000, 0.0000, 0.0000)  0.09
N (0.0000, 0.0000, 0.5000)  0.09
Ge (0.2714, 0.5429, 0.2500)  -0.03
Ge (0.7286, 0.4571, 0.7500)  -0.03
Pr (0.5472, 0.0944, 0.2500)  0.00
Pr (0.4528, 0.9056, 0.7500)  0.00

space group	Cmcm

Entry 5:
Density functional theory data (PBE) for crystalline Pu2Co2Ge2N at its relaxed geometry.

a b c (Å): 3.8253 5.7495 6.7325
angles (deg): 56.32 89.99 70.57
Last column: magnetic moment on the atom in μB.
Sites, in units of the cell vectors:
Pu (0.5496, 0.9005, 0.2712)  5.02
Pu (0.4504, 0.0995, 0.7288)  5.02
Co (0.1980, 0.6043, 0.0805)  -0.18
Co (0.8020, 0.3957, 0.9195)  -0.18
Ge (0.8339, 0.3325, 0.3008)  -0.02
Ge (0.1661, 0.6675, 0.6992)  -0.02
N (0.0000, 0.0000, 0.0000)  -0.15

space group	C2/m

Entry 6:
Density functional theory data (PBE) for crystalline Co2GeRhN at its relaxed geometry.

a b c (Å): 4.7235 3.6357 4.7235
angles (deg): 90.00 90.00 90.00
Last column: magnetic moment on the atom in μB.
Sites, in units of the cell vectors:
Co (0.0000, 0.0000, 0.5000)  2.10
Co (0.5000, 0.0000, 0.0000)  1.48
Rh (0.0000, 0.0000, 0.0000)  0.31
N (0.0000, 0.5000, 0.0000)  -0.06
Ge (0.5000, 0.5000, 0.5000)  -0.13

space group	P4/mmm

Entry 7:
Density functional theory data (PBE) for crystalline CoGeS2N at its relaxed geometry.

a b c (Å): 4.8172 4.8172 3.5974
angles (deg): 90.00 90.00 90.00
Last column: magnetic moment on the atom in μB.
Sites, in units of the cell vectors:
Co (0.5000, 0.5000, 0.5000)  2.39
N (0.0000, 0.0000, 0.5000)  0.62
S (0.5000, 0.0000, 0.0000)  0.26
S (0.0000, 0.5000, 0.0000)  0.26
Ge (0.0000, 0.0000, 0.0000)  -0.04

space group	P4/mmm
energy relative to the lowest polymorph listed for this composition	652	meV/atom

Entry 8:
Density functional theory data (PBE) for crystalline CoGeSN2 at its relaxed geometry.

a b c (Å): 3.6431 3.6431 4.9052
angles (deg): 90.00 90.00 90.00
Sites, in units of the cell vectors:
Ge (0.5000, 0.5000, 0.5000)
N (0.5000, 0.0000, 0.0000)
N (0.0000, 0.5000, 0.0000)
Co (0.0000, 0.0000, 0.0000)
S (0.0000, 0.0000, 0.5000)

space group	P4/mmm
energy relative to the lowest polymorph listed for this composition	0	meV/atom

Entry 9:
Density functional theory data (PBE) for crystalline CoGeS2N at its relaxed geometry.

a b c (Å): 4.7239 4.7239 3.4073
angles (deg): 90.00 90.00 90.00
Sites, in units of the cell vectors:
Ge (0.5000, 0.5000, 0.5000)
N (0.0000, 0.0000, 0.5000)
S (0.0000, 0.5000, 0.0000)
S (0.5000, 0.0000, 0.0000)
Co (0.0000, 0.0000, 0.0000)

space group	P4/mmm
energy relative to the lowest polymorph listed for this composition	0	meV/atom

Entry 10:
Density functional theory data (PBE) for crystalline CoGeSN2 at its relaxed geometry.

a b c (Å): 3.6502 3.6502 5.3637
angles (deg): 90.00 90.00 90.00
Last column: magnetic moment on the atom in μB.
Sites, in units of the cell vectors:
S (0.0000, 0.0000, 0.5000)  0.21
N (0.0000, 0.5000, 0.0000)  0.57
N (0.5000, 0.0000, 0.0000)  0.57
Ge (0.0000, 0.0000, 0.0000)  -0.03
Co (0.5000, 0.5000, 0.5000)  2.32

space group	P4/mmm
energy relative to the lowest polymorph listed for this composition	358	meV/atom

Entry 11:
Density functional theory data (PBE) for crystalline CoGeSeN2 at its relaxed geometry.

a b c (Å): 3.7115 3.7115 5.0769
angles (deg): 90.00 90.00 90.00
Last column: magnetic moment on the atom in μB.
Sites, in units of the cell vectors:
Se (0.0000, 0.0000, 0.5000)  0.06
Co (0.0000, 0.0000, 0.0000)  0.54
N (0.5000, 0.0000, 0.0000)  0.37
N (0.0000, 0.5000, 0.0000)  0.37
Ge (0.5000, 0.5000, 0.5000)  0.01

space group	P4/mmm
energy relative to the lowest polymorph listed for this composition	0	meV/atom

Entry 12:
Density functional theory data (PBE) for crystalline CoGeSeN2 at its relaxed geometry.

a b c (Å): 3.6010 3.6010 6.5226
angles (deg): 90.00 90.00 90.00
Last column: magnetic moment on the atom in μB.
Sites, in units of the cell vectors:
Co (0.5000, 0.5000, 0.5000)  2.05
Ge (0.0000, 0.0000, 0.0000)  -0.01
Se (0.0000, 0.0000, 0.5000)  0.15
N (0.0000, 0.5000, 0.0000)  0.14
N (0.5000, 0.0000, 0.0000)  0.14

space group	P4/mmm
energy relative to the lowest polymorph listed for this composition	272	meV/atom

Entry 13:
Density functional theory data (PBE) for crystalline SmCo2GeN at its relaxed geometry.

a b c (Å): 3.6829 5.7789 6.9160
angles (deg): 90.00 90.00 108.58
Last column: magnetic moment on the atom in μB.
Sites, in units of the cell vectors:
N (0.0000, 0.0000, 0.0000)  0.09
N (0.0000, 0.0000, 0.5000)  0.09
Sm (0.5439, 0.0878, 0.2500)  0.00
Sm (0.4561, 0.9122, 0.7500)  0.00
Ge (0.7305, 0.4609, 0.7500)  -0.03
Ge (0.2695, 0.5391, 0.2500)  -0.03
Co (0.1607, 0.3215, 0.9464)  0.48
Co (0.8393, 0.6785, 0.0536)  0.48
Co (0.8393, 0.6785, 0.4464)  0.48
Co (0.1607, 0.3215, 0.5536)  0.48

space group	Cmcm

Entry 14:
Density functional theory data (PBE) for crystalline SmCoGeN at its relaxed geometry.

a b c (Å): 3.7681 3.7681 8.5635
angles (deg): 90.00 90.00 90.00
Sites, in units of the cell vectors:
Sm (0.5000, 0.0000, 0.1512)
Sm (0.0000, 0.5000, 0.8488)
Co (0.5000, 0.5000, 0.5000)
Co (0.0000, 0.0000, 0.5000)
Ge (0.5000, 0.0000, 0.6531)
Ge (0.0000, 0.5000, 0.3469)
N (0.5000, 0.0000, 0.8786)
N (0.0000, 0.5000, 0.1214)

space group	P4/nmm

Entry 15:
Density functional theory data (PBE) for crystalline SrCo2GeN at its relaxed geometry.

a b c (Å): 4.8929 5.8669 4.8929
angles (deg): 90.00 90.00 90.00
Last column: magnetic moment on the atom in μB.
Sites, in units of the cell vectors:
N (0.5000, 0.5000, 0.5000)  1.48
Sr (0.0000, 0.0000, 0.0000)  -0.16
Ge (0.0000, 0.5000, 0.0000)  -0.29
Co (0.0000, 0.0000, 0.5000)  1.35
Co (0.5000, 0.0000, 0.0000)  1.61

space group	P4/mmm
energy relative to the lowest polymorph listed for this composition	3319	meV/atom

Entry 16:
Density functional theory data (PBE) for crystalline Sr2Co2Ge2N at its relaxed geometry.

a b c (Å): 4.0790 6.1451 7.2515
angles (deg): 54.59 89.98 70.58
Sites, in units of the cell vectors:
Ge (0.1939, 0.6122, 0.6103)
Ge (0.8061, 0.3878, 0.3897)
Sr (0.4451, 0.1096, 0.1930)
Sr (0.5549, 0.8904, 0.8070)
N (0.0000, 0.0000, 0.0000)
Co (0.1762, 0.6465, 0.2567)
Co (0.8238, 0.3535, 0.7433)

space group	C2/m

Entry 17:
Density functional theory data (PBE) for crystalline SrCo2GeN at its relaxed geometry.

a b c (Å): 3.9377 5.7804 6.8765
angles (deg): 90.00 90.00 109.91
Sites, in units of the cell vectors:
Co (0.8436, 0.6873, 0.4424)
Co (0.1564, 0.3127, 0.9424)
Co (0.8436, 0.6873, 0.0576)
Co (0.1564, 0.3127, 0.5576)
Ge (0.2732, 0.5465, 0.2500)
Ge (0.7268, 0.4535, 0.7500)
Sr (0.5520, 0.1041, 0.2500)
Sr (0.4480, 0.8959, 0.7500)
N (0.0000, 0.0000, 0.0000)
N (0.0000, 0.0000, 0.5000)

space group	Cmcm
energy relative to the lowest polymorph listed for this composition	0	meV/atom

Entry 18:
Density functional theory data (PBE) for crystalline Ta2CoGeN at its relaxed geometry.

a b c (Å): 4.8978 3.5388 4.8978
angles (deg): 90.00 90.00 90.00
Sites, in units of the cell vectors:
Ta (0.5000, 0.0000, 0.0000)
Ta (0.0000, 0.0000, 0.5000)
N (0.0000, 0.5000, 0.0000)
Co (0.5000, 0.5000, 0.5000)
Ge (0.0000, 0.0000, 0.0000)

space group	P4/mmm

Entry 19:
Density functional theory data (PBE) for crystalline Co2TcGeN at its relaxed geometry.

a b c (Å): 3.7795 3.7795 4.0341
angles (deg): 90.00 90.00 90.00
Last column: magnetic moment on the atom in μB.
Sites, in units of the cell vectors:
Tc (0.0000, 0.0000, 0.5000)  -0.09
Co (0.0000, 0.5000, 0.0000)  0.55
Co (0.5000, 0.0000, 0.0000)  0.55
Ge (0.5000, 0.5000, 0.5000)  0.00
N (0.0000, 0.0000, 0.0000)  0.02

space group	P4/mmm

Entry 20:
Density functional theory data (PBE) for crystalline CoTc2GeN at its relaxed geometry.

a b c (Å): 4.0997 4.0997 3.6650
angles (deg): 90.00 90.00 90.00
Sites, in units of the cell vectors:
Ge (0.5000, 0.5000, 0.5000)
Tc (0.0000, 0.5000, 0.0000)
Tc (0.5000, 0.0000, 0.0000)
Co (0.0000, 0.0000, 0.5000)
N (0.0000, 0.0000, 0.0000)

space group	P4/mmm

no.,E_form (uncorrected) (eV/atom)
1,-0.757
2,-0.761
3,-0.798
4,-0.641
5,-0.575
6,1.106
7,1.040
8,0.954
9,0.388
10,1.313
11,1.007
12,1.279
13,-0.691
14,-0.793
15,2.887
16,-0.515
17,-0.432
18,1.659
19,0.013
20,0.018